[1]
# Pm8Te2C3 (PBE-GGA, relaxed)
# Symmetry ... C2/m
# Total magnetic moment ... 0.00 Bohr magnetons per cell
# Formation energy from raw total energies ... -48.26 kJ per mole of atoms
data_Pm8Te2C3
_chemical_formula_sum 'Pm8 Te2 C3'
_symmetry_space_group_name_H-M 'P 1'
_symmetry_Int_Tables_number 1
_cell_length_a 8.5932
_cell_length_b 8.5932
_cell_length_c 6.5968
_cell_angle_alpha 104.22
_cell_angle_beta 104.22
_cell_angle_gamma 51.65
loop_
_symmetry_equiv_pos_as_xyz
'x,y,z'
loop_
_atom_site_label
_atom_site_type_symbol
_atom_site_fract_x
_atom_site_fract_y
_atom_site_fract_z
_atom_site_occupancy
Pm1 Pm 0.0926 0.0926 0.8938 1
Pm2 Pm 0.1482 0.6670 0.6134 1
Pm3 Pm 0.3330 0.8518 0.3866 1
Pm4 Pm 0.4070 0.4070 0.0874 1
Pm5 Pm 0.5930 0.5930 0.9126 1
Pm6 Pm 0.6670 0.1482 0.6134 1
Pm7 Pm 0.8518 0.3330 0.3866 1
Pm8 Pm 0.9074 0.9074 0.1062 1
Te1 Te 0.2534 0.2534 0.3231 1
Te2 Te 0.7466 0.7466 0.6769 1
C1 C 0.0000 0.0000 0.5000 1
C2 C 0.2484 0.7516 0.0000 1
C3 C 0.7516 0.2484 0.0000 1

[2]
# Pm6Te5C (PBE-GGA, relaxed)
# Symmetry ... C2/m
# Total magnetic moment ... 0.00 Bohr magnetons per cell
# Formation energy from raw total energies ... -119.11 kJ per mole of atoms
data_Pm6Te5C
_chemical_formula_sum 'Pm6 Te5 C1'
_symmetry_space_group_name_H-M 'P 1'
_symmetry_Int_Tables_number 1
_cell_length_a 7.5862
_cell_length_b 7.5862
_cell_length_c 7.5010
_cell_angle_alpha 99.59
_cell_angle_beta 99.59
_cell_angle_gamma 119.57
loop_
_symmetry_equiv_pos_as_xyz
'x,y,z'
loop_
_atom_site_label
_atom_site_type_symbol
_atom_site_fract_x
_atom_site_fract_y
_atom_site_fract_z
_atom_site_occupancy
Pm1 Pm 0.0698 0.3533 0.7133 1
Pm2 Pm 0.2071 0.2071 0.2731 1
Pm3 Pm 0.3533 0.0698 0.7133 1
Pm4 Pm 0.6467 0.9302 0.2867 1
Pm5 Pm 0.7929 0.7929 0.7269 1
Pm6 Pm 0.9302 0.6467 0.2867 1
Te1 Te 0.1802 0.8198 0.0000 1
Te2 Te 0.3360 0.6640 0.5000 1
Te3 Te 0.5000 0.5000 0.0000 1
Te4 Te 0.6640 0.3360 0.5000 1
Te5 Te 0.8198 0.1802 0.0000 1
C1 C 0.0000 0.0000 0.5000 1